The following is a DFT calculation (PBE) of Hf2BeGa after structural relaxation.

Cell: 6.546 6.546 6.546 Å, 90.00 90.00 90.00°
Element x y z (fractional)
Hf1 0.000 0.000 0.000
Hf2 0.000 0.500 0.500
Hf3 0.250 0.250 0.250
Hf4 0.250 0.750 0.750
Hf5 0.500 0.000 0.500
Hf6 0.500 0.500 0.000
Hf7 0.750 0.250 0.750
Hf8 0.750 0.750 0.250
Be1 0.250 0.250 0.750
Be2 0.250 0.750 0.250
Be3 0.750 0.250 0.250
Be4 0.750 0.750 0.750
Ga1 0.000 0.000 0.500
Ga2 0.000 0.500 0.000
Ga3 0.500 0.000 0.000
Ga4 0.500 0.500 0.500

Results
uncorrected energy	-100.156	eV for the cell shown
magnetic moment	0.00	μB/f.u.
mass density	10.32	Mg/m³